1.
Material: Na2SI
Method: DFT, PBE-GGA
State: relaxed

It has space group R-3m (No. 166, hexagonal axes), with a = 4.0520 Å, b = 4.0520 Å, c = 27.4354 Å, α = 90.00°, β = 90.00° and γ = 120.00°. Symmetry generates all atoms from Na at (0.0000, 0.0000, 0.1124), S at (0.0000, 0.0000, 0.5000) and I at (0.0000, 0.0000, 0.0000).

As for the polymorph energy (0 for the lowest one): 81 meV per atom. The value obtained for the total moment is 1.61 μB/cell. The calculation puts the uncorrected formation energy at -687 meV per atom. The total energy is -33.2 eV/cell.

2.
Material: AgHg2Ir
Method: DFT, PBE-GGA
State: relaxed

It has space group P2/m (No. 10), with a = 3.037 Å, b = 4.006 Å, c = 6.100 Å, α = 90.00°, β = 90.36° and γ = 90.00°. Symmetry generates all atoms from Ag at (0.000, 0.000, 0.000), Hg at (0.500, 0.500, 0.260) and Ir at (0.000, 0.000, 0.500).

As for the polymorph energy (0 for the lowest one): 36 meV per atom. The value obtained for the total moment is 0.00 μB/cell. The value obtained for the formation energy is 0.374 eV per atom. The total energy is -10.8 eV/cell.

3.
Material: Tm2Zn3Ga4
Method: DFT, PBE-GGA
State: relaxed

It has space group Cmce (No. 64), with a = 5.708 Å, b = 15.045 Å, c = 7.659 Å, α = 90.00°, β = 90.00° and γ = 90.00°. Symmetry generates all atoms from Tm at (0.000, 0.107, 0.097), Zn at (0.000, 0.000, 0.500), Zn at (0.250, 0.231, 0.750), Ga at (0.000, 0.175, 0.478) and Ga at (0.250, 0.060, 0.750).

The value obtained for the total moment is 0.00 μB/cell. The value obtained for the formation energy is -0.385 eV per atom. The total energy is -113.4 eV/cell.